one.
The following is a DFT calculation (PBE) of a relaxed NbAsI2N crystal.

Cell and atoms, written as CIF:
```
data_NbAsI2N
_symmetry_space_group_name_H-M 'P 4/m m m'
_symmetry_Int_Tables_number 123
_symmetry_space_group_name_Hall '-P 4 2'
_cell_length_a 5.706
_cell_length_b 5.706
_cell_length_c 3.902
_cell_angle_alpha 90.00
_cell_angle_beta 90.00
_cell_angle_gamma 90.00
loop_
_atom_site_label
_atom_site_type_symbol
_atom_site_fract_x
_atom_site_fract_y
_atom_site_fract_z
Nb1 Nb 0.000 0.000 0.000
As1 As 0.500 0.500 0.500
I1 I 0.000 0.500 0.000
N1 N 0.000 0.000 0.500
```

two.
The following is a DFT calculation (PBE) of a relaxed NbAsI2N crystal.

Cell and atoms, written as CIF:
```
data_NbAsI2N
_symmetry_space_group_name_H-M 'P 4/m m m'
_symmetry_Int_Tables_number 123
_symmetry_space_group_name_Hall '-P 4 2'
_cell_length_a 5.875
_cell_length_b 5.875
_cell_length_c 3.667
_cell_angle_alpha 90.00
_cell_angle_beta 90.00
_cell_angle_gamma 90.00
loop_
_atom_site_label
_atom_site_type_symbol
_atom_site_fract_x
_atom_site_fract_y
_atom_site_fract_z
Nb1 Nb 0.000 0.000 0.000
As1 As 0.500 0.500 0.500
I1 I 0.000 0.500 0.500
N1 N 0.500 0.500 0.000
```

Winner for stability: one

one.
The following is a DFT calculation (PBE) of a relaxed NbAsIN2 crystal.

Cell and atoms, written as CIF:
```
data_NbAsIN2
_symmetry_space_group_name_H-M 'P 4/m m m'
_symmetry_Int_Tables_number 123
_symmetry_space_group_name_Hall '-P 4 2'
_cell_length_a 4.089
_cell_length_b 4.089
_cell_length_c 5.993
_cell_angle_alpha 90.00
_cell_angle_beta 90.00
_cell_angle_gamma 90.00
loop_
_atom_site_label
_atom_site_type_symbol
_atom_site_fract_x
_atom_site_fract_y
_atom_site_fract_z
Nb1 Nb 0.000 0.000 0.000
As1 As 0.500 0.500 0.500
I1 I 0.000 0.000 0.500
N1 N 0.000 0.500 0.000
```

two.
The following is a DFT calculation (PBE) of a relaxed NbAsIN2 crystal.

Cell and atoms, written as CIF:
```
data_NbAsIN2
_symmetry_space_group_name_H-M 'P 4/m m m'
_symmetry_Int_Tables_number 123
_symmetry_space_group_name_Hall '-P 4 2'
_cell_length_a 3.985
_cell_length_b 3.985
_cell_length_c 5.705
_cell_angle_alpha 90.00
_cell_angle_beta 90.00
_cell_angle_gamma 90.00
loop_
_atom_site_label
_atom_site_type_symbol
_atom_site_fract_x
_atom_site_fract_y
_atom_site_fract_z
Nb1 Nb 0.000 0.000 0.000
As1 As 0.500 0.500 0.500
I1 I 0.500 0.500 0.000
N1 N 0.000 0.500 0.500
```

Winner for stability: one